A plane-wave DFT calculation with PBE-GGA was carried out for SrZn6Ni6 after structural relaxation.

Geometry as POSCAR:
```
SrZn6Ni6
1.0
-2.497 4.223 4.357
2.497 -4.223 4.357
2.497 4.223 -4.357
Sr Zn Ni
1 6 6
Direct
0.000 0.000 0.000
0.206 0.706 0.500
0.345 0.000 0.345
0.352 0.352 0.000
0.648 0.648 0.000
0.655 0.000 0.655
0.794 0.294 0.500
0.000 0.000 0.500
0.000 0.500 0.000
0.240 0.500 0.740
0.500 0.000 0.000
0.500 0.500 0.500
0.760 0.500 0.260
```

Properties
M_tot (μB/f.u.): 0.0
E_form (eV per formula unit): -2.62
Symmetry: No. 71